A plane-wave DFT calculation with GGA-PBE was carried out for an optimized crystal structure of Ca2CoSi.

abc: 12.710 3.849 8.140
angles: 90.00 103.87 90.00
Space group Cm (No. 8)
Symmetry-distinct sites (fractional):
Ca1 0.000 0.000 0.000
Ca2 0.084 0.000 0.469
Ca3 0.215 0.500 0.894
Ca4 0.360 0.000 0.551
Co1 0.248 0.000 0.199
Co2 0.455 0.000 0.245
Si1 0.144 0.500 0.229
Si2 0.353 0.500 0.244

- energy relative to the elements, uncorrected (meV per atom) = -287
- volume (Å³ per atom) = 24.165

=====

A plane-wave DFT calculation with GGA-PBE was carried out for an optimized crystal structure of LaSm2Ho5.

abc: 7.160 14.334 5.061
angles: 90.00 90.00 90.00
Space group Pbam (No. 55)
Symmetry-distinct sites (fractional):
La1 0.000 0.000 0.000
Sm1 0.247 0.373 0.500
Ho1 0.000 0.500 0.000
Ho2 0.002 0.748 0.000
Ho3 0.249 0.126 0.500

- offset from the most stable computed form (eV per formula unit) = 0.000
- volume (Å³ per atom) = 32.460
- ΔE_f (eV per formula unit) = 0.2

=====

A plane-wave DFT calculation with GGA-PBE was carried out for an optimized crystal structure of AcUBi2.

abc: 8.040 8.040 8.040
angles: 90.00 90.00 90.00
Space group Fm-3m (No. 225)
Symmetry-distinct sites (fractional):
Ac1 0.000 0.000 0.000
U1 0.000 0.000 0.500
Bi1 0.250 0.250 0.250

- offset from the most stable computed form (eV per formula unit) = 0.696
- volume (Å³ per atom) = 32.483
- ΔE_f (eV per formula unit) = -0.8

=====

A plane-wave DFT calculation with GGA-PBE was carried out for an optimized crystal structure of MgVSe2.

abc: 3.9277 3.9277 23.3413
angles: 90.00 90.00 120.00
Space group R-3m (No. 166, hexagonal axes)
Symmetry-distinct sites (fractional):
Mg1 0.0000 0.0000 0.0000
V1 0.0000 0.0000 0.5000
Se1 0.0000 0.0000 0.3980

- energy relative to the elements, uncorrected (meV per atom) = -259
- volume (Å³ per atom) = 25.986

=====

A plane-wave DFT calculation with GGA-PBE was carried out for an optimized crystal structure of La3FeI3.

abc: 12.496 12.496 12.496
angles: 90.00 90.00 90.00
Space group I4_132 (No. 214)
Symmetry-distinct sites (fractional):
La1 0.101 0.351 0.125
Fe1 0.125 0.125 0.125
I1 0.115 0.135 0.625

- energy relative to the elements, uncorrected (meV per atom) = -902
- volume (Å³ per atom) = 34.843

=====

A plane-wave DFT calculation with GGA-PBE was carried out for an optimized crystal structure of YCrRh2.

abc: 3.441 3.441 6.052
angles: 90.00 90.00 90.00
Space group P4mm (No. 99)
Symmetry-distinct sites (fractional):
Y1 0.000 0.000 0.000
Cr1 0.500 0.500 0.349
Rh1 0.000 0.000 0.481
Rh2 0.500 0.500 0.769

- offset from the most stable computed form (eV per formula unit) = 1.062
- volume (Å³ per atom) = 17.911
- ΔE_f (eV per formula unit) = -0.2

=====

A plane-wave DFT calculation with GGA-PBE was carried out for an optimized crystal structure of InBiHBr2.

abc: 5.992 5.992 3.700
angles: 90.00 90.00 90.00
Space group P4/mmm (No. 123)
Symmetry-distinct sites (fractional):
In1 0.000 0.000 0.000
Bi1 0.500 0.500 0.500
H1 0.000 0.000 0.500
Br1 0.000 0.500 0.000

- volume (Å³ per atom) = 26.569
- energy (eV/atom) = -2.700

=====

A plane-wave DFT calculation with GGA-PBE was carried out for an optimized crystal structure of Mg4In.

abc: 4.890 6.136 15.367
angles: 90.00 90.00 90.00
Space group Imma (No. 74)
Symmetry-distinct sites (fractional):
Mg1 0.000 0.000 0.000
Mg2 0.000 0.003 0.196
Mg3 0.000 0.250 0.397
In1 0.000 0.250 0.609

- offset from the most stable computed form (eV per formula unit) = 0.257
- volume (Å³ per atom) = 23.054
- ΔE_f (eV per formula unit) = 0.0

=====

A plane-wave DFT calculation with GGA-PBE was carried out for an optimized crystal structure of Tm2AsH.

abc: 4.0189 4.0189 21.2606
angles: 90.00 90.00 120.00
Space group R-3m (No. 166, hexagonal axes)
Symmetry-distinct sites (fractional):
Tm1 0.0000 0.0000 0.0931
As1 0.0000 0.0000 0.5000
H1 0.0000 0.0000 0.0000

- offset from the most stable computed form (eV per formula unit) = 1.174
- volume (Å³ per atom) = 24.783

=====

A plane-wave DFT calculation with GGA-PBE was carried out for an optimized crystal structure of Ti4ZnAg.

abc: 2.999 2.999 11.223
angles: 90.00 90.00 90.00
Space group P4/mmm (No. 123)
Symmetry-distinct sites (fractional):
Ti1 0.000 0.000 0.158
Ti2 0.500 0.500 0.321
Zn1 0.500 0.500 0.000
Ag1 0.000 0.000 0.500

- volume (Å³ per atom) = 16.828
- ΔE_f (eV per formula unit) = -0.6

=====

A plane-wave DFT calculation with GGA-PBE was carried out for an optimized crystal structure of Ir3RhW.

abc: 7.817 8.954 4.598
angles: 90.00 90.00 90.00
Space group Ama2 (No. 40)
Symmetry-distinct sites (fractional):
Ir1 0.080 0.196 0.000
Ir2 0.250 0.442 0.232
Rh1 0.250 0.205 0.510
W1 0.000 0.000 0.407

- offset from the most stable computed form (eV per formula unit) = 1.607
- volume (Å³ per atom) = 16.090
- ΔE_f (eV per formula unit) = 0.8

=====

A plane-wave DFT calculation with GGA-PBE was carried out for an optimized crystal structure of LaTlI.

abc: 4.7856 4.7856 35.8313
angles: 90.00 90.00 120.00
Space group R-3m (No. 166, hexagonal axes)
Symmetry-distinct sites (fractional):
La1 0.0000 0.0000 0.0618
Tl1 0.0000 0.0000 0.3494
I1 0.0000 0.0000 0.2189

- energy relative to the elements, uncorrected (meV per atom) = -924
- volume (Å³ per atom) = 39.482